# BaCaCdFe2 (meta-GGA SCAN, PBEsol geometry)
# Size of the total moment (Bohr magnetons per cell): 5.29
# SG: P4/mmm
# Energy of formation (eV/atom): 1.018
# Final energy (eV for the cell shown): -110.798
data_BaCaCdFe2
_cell_length_a 5.0582
_cell_length_b 5.0582
_cell_length_c 5.5821
_cell_angle_alpha 90.00
_cell_angle_beta 90.00
_cell_angle_gamma 90.00
_symmetry_space_group_name_H-M 'P 1'
_symmetry_Int_Tables_number 1
loop_
_symmetry_equiv_pos_as_xyz
'x,y,z'
loop_
_atom_site_label
_atom_site_type_symbol
_atom_site_fract_x
_atom_site_fract_y
_atom_site_fract_z
Ba1 Ba 0.0000 0.0000 0.0000
Ca1 Ca 0.5000 0.5000 0.5000
Cd1 Cd 0.5000 0.5000 0.0000
Fe1 Fe 0.0000 0.5000 0.5000
Fe2 Fe 0.5000 0.0000 0.5000



# Ba2CaCl (meta-GGA SCAN, PBEsol geometry)
# Size of the total moment (Bohr magnetons per cell): 0.82
# SG: I-4m2
# E_form (uncorrected) (eV/atom): -0.54
# Final energy (eV for the cell shown): -98.906
# E above lowest polymorph (eV per atom): 0.242
data_Ba2CaCl
_cell_length_a 8.1284
_cell_length_b 8.1284
_cell_length_c 8.1284
_cell_angle_alpha 144.62
_cell_angle_beta 144.62
_cell_angle_gamma 50.90
_symmetry_space_group_name_H-M 'P 1'
_symmetry_Int_Tables_number 1
loop_
_symmetry_equiv_pos_as_xyz
'x,y,z'
loop_
_atom_site_label
_atom_site_type_symbol
_atom_site_fract_x
_atom_site_fract_y
_atom_site_fract_z
Ba1 Ba 0.0000 0.0000 0.0000
Ba2 Ba 0.7500 0.2500 0.5000
Ca1 Ca 0.5000 0.5000 0.0000
Cl1 Cl 0.2500 0.7500 0.5000



# Ba2CaCl (meta-GGA SCAN, PBEsol geometry)
# Size of the total moment (Bohr magnetons per cell): 0.02
# SG: Immm
# E_form (uncorrected) (eV/atom): -0.78
# Final energy (eV for the cell shown): -99.874
# E above lowest polymorph (eV per atom): 0.000
data_Ba2CaCl
_cell_length_a 7.4643
_cell_length_b 7.4643
_cell_length_c 7.4643
_cell_angle_alpha 147.43
_cell_angle_beta 120.44
_cell_angle_gamma 69.55
_symmetry_space_group_name_H-M 'P 1'
_symmetry_Int_Tables_number 1
loop_
_symmetry_equiv_pos_as_xyz
'x,y,z'
loop_
_atom_site_label
_atom_site_type_symbol
_atom_site_fract_x
_atom_site_fract_y
_atom_site_fract_z
Ba1 Ba 0.1886 0.1886 0.0000
Ba2 Ba 0.8114 0.8114 0.0000
Ca1 Ca 0.5000 0.0000 0.5000
Cl1 Cl 0.0000 0.5000 0.5000



# Ba2CaCoCl (meta-GGA SCAN, PBEsol geometry)
# Size of the total moment (Bohr magnetons per cell): 0.00
# SG: P4/mmm
# E_form (uncorrected) (eV/atom): 0.30
# Final energy (eV for the cell shown): -112.524
data_Ba2CaCoCl
_cell_length_a 6.5404
_cell_length_b 6.5404
_cell_length_c 4.3132
_cell_angle_alpha 90.00
_cell_angle_beta 90.00
_cell_angle_gamma 90.00
_symmetry_space_group_name_H-M 'P 1'
_symmetry_Int_Tables_number 1
loop_
_symmetry_equiv_pos_as_xyz
'x,y,z'
loop_
_atom_site_label
_atom_site_type_symbol
_atom_site_fract_x
_atom_site_fract_y
_atom_site_fract_z
Ba1 Ba 0.0000 0.5000 0.0000
Ba2 Ba 0.5000 0.0000 0.0000
Ca1 Ca 0.0000 0.0000 0.0000
Co1 Co 0.0000 0.0000 0.5000
Cl1 Cl 0.5000 0.5000 0.5000



# BaCaPCl2 (meta-GGA SCAN, PBEsol geometry)
# Size of the total moment (Bohr magnetons per cell): 0.00
# SG: P4/mmm
# E_form (uncorrected) (eV/atom): -1.09
# Final energy (eV for the cell shown): -81.000
data_BaCaPCl2
_cell_length_a 5.6266
_cell_length_b 5.6266
_cell_length_c 5.7981
_cell_angle_alpha 90.00
_cell_angle_beta 90.00
_cell_angle_gamma 90.00
_symmetry_space_group_name_H-M 'P 1'
_symmetry_Int_Tables_number 1
loop_
_symmetry_equiv_pos_as_xyz
'x,y,z'
loop_
_atom_site_label
_atom_site_type_symbol
_atom_site_fract_x
_atom_site_fract_y
_atom_site_fract_z
Ba1 Ba 0.0000 0.0000 0.0000
Ca1 Ca 0.5000 0.5000 0.5000
P1 P 0.0000 0.0000 0.5000
Cl1 Cl 0.0000 0.5000 0.0000
Cl2 Cl 0.5000 0.0000 0.0000



# BaCaSi2Cl (meta-GGA SCAN, PBEsol geometry)
# Size of the total moment (Bohr magnetons per cell): 0.00
# SG: P4/mmm
# E_form (uncorrected) (eV/atom): 0.17
# Final energy (eV for the cell shown): -76.380
data_BaCaSi2Cl
_cell_length_a 5.1409
_cell_length_b 5.1409
_cell_length_c 5.4297
_cell_angle_alpha 90.00
_cell_angle_beta 90.00
_cell_angle_gamma 90.00
_symmetry_space_group_name_H-M 'P 1'
_symmetry_Int_Tables_number 1
loop_
_symmetry_equiv_pos_as_xyz
'x,y,z'
loop_
_atom_site_label
_atom_site_type_symbol
_atom_site_fract_x
_atom_site_fract_y
_atom_site_fract_z
Ba1 Ba 0.0000 0.0000 0.0000
Ca1 Ca 0.5000 0.5000 0.0000
Si1 Si 0.0000 0.5000 0.5000
Si2 Si 0.5000 0.0000 0.5000
Cl1 Cl 0.0000 0.0000 0.5000